DFT (PBE) results for Sr3Ga4Hg2 after structural relaxation.

## Properties
formation energy: -0.466 eV/atom
space-group type: C2/m, No. 12

abc: 4.8136 6.2511 9.1294
angles: 109.75 90.00 112.65
Sites, in units of the cell vectors:
Sr 0.3244 0.6487 0.3402
Ga 0.0198 0.0396 0.3643
Ga 0.7488 0.4976 0.0766
Sr 0.6756 0.3513 0.6598
Hg 0.4000 0.8001 0.7303
Ga 0.2512 0.5024 0.9234
Sr 0.0000 0.0000 0.0000
Hg 0.6000 0.1999 0.2697
Ga 0.9802 0.9604 0.6357

***

DFT (PBE) results for Sr2GaHg2 after structural relaxation.

## Properties
excess energy over the best structure of this formula in the dataset: 0.202 eV per atom
formation energy: -0.272 eV/atom
space-group type: I4/mmm, No. 139

abc: 4.2286 4.2286 9.6755
angles: 77.38 77.38 90.00
Sites, in units of the cell vectors:
Hg 0.7500 0.2500 0.5000
Sr 0.4004 0.4004 0.1993
Ga 0.0000 0.0000 0.0000
Sr 0.5996 0.5996 0.8007
Hg 0.2500 0.7500 0.5000

***

DFT (PBE) results for Sr2GaHg after structural relaxation.

## Properties
formation energy: 0.312 eV/atom
space-group type: Immm, No. 71

abc: 7.6010 7.6010 7.6010
angles: 63.11 149.76 126.03
Sites, in units of the cell vectors:
Sr 0.0000 0.2515 0.2515
Ga 0.0000 0.0000 0.0000
Sr 0.0000 0.7485 0.7485
Hg 0.0000 0.5000 0.5000

***

DFT (PBE) results for Sr2GaHg after structural relaxation.

## Properties
formation energy: 0.039 eV/atom
space-group type: R-3m, No. 166

abc: 4.1061 4.1061 11.3683
angles: 79.60 79.60 60.00
Sites, in units of the cell vectors:
Hg 0.5000 0.5000 0.5000
Ga 0.0000 0.0000 0.0000
Sr 0.9030 0.9030 0.2909
Sr 0.0970 0.0970 0.7091

***

E_tot across the listed records, respectively: -2.44, -1.67, -1.36, -1.63 eV/atom.